## YGa4Ag (PBE)

Data for a relaxed YGa4Ag crystal.

Geometry as POSCAR:
```
YGa4Ag
1.0
-2.9132 4.6127 0.6390
-1.1845 1.8237 5.0441
2.4277 4.5377 1.9203
Ga Y Ag
4 1 1
Direct
0.1253 0.6249 0.6249
0.6249 0.6249 0.6249
0.6249 0.1253 0.6249
0.6249 0.6249 0.1253
0.2500 0.2500 0.2500
0.0000 0.0000 0.0000
```

Values from the calculation:
formation energy from the elements = -0.2088 eV per atom
spin magnetization = 0.0 μB/f.u.
SG = No. 216
VASP energy = -3.779 eV per atom